Record 1
Material: Ac3MgCd8
Method: DFT, GGA-PBE
State: optimized geometry

```
12
Lattice="3.087 1.782 10.014 -3.087 1.782 10.014 0.000 -3.565 10.014" Properties=species:S:1:pos:R:3 pbc="T T T"
Ac 0.000 0.000 0.000
Ac 0.000 0.000 3.789
Ac 0.000 0.000 18.572
Mg 0.000 0.000 14.856
Cd 0.000 -1.774 6.812
Cd -1.536 0.887 6.812
Cd -1.543 -0.891 11.873
Cd 0.000 0.000 9.351
Cd 1.536 0.887 6.812
Cd 1.543 -0.891 11.873
Cd 0.000 1.782 11.873
Cd 0.000 0.000 24.365
```

Computed properties:
The calculation puts the electronic total energy at -2.006 eV per atom. The value obtained for the formation energy is -273 kJ/mol of formula units.

***

Record 2
Material: NpGa2I6
Method: DFT, GGA-PBE
State: optimized geometry

```
18
Lattice="7.577 0.000 0.000 0.000 7.577 0.000 0.000 0.000 13.949" Properties=species:S:1:pos:R:3 pbc="T T T"
Np 0.000 0.000 0.000
Np 3.789 3.789 6.975
Ga 0.000 0.000 4.603
Ga 0.000 0.000 9.346
Ga 3.789 3.789 2.372
Ga 3.789 3.789 11.577
I 1.452 1.452 2.226
I 1.452 1.452 11.723
I 1.663 1.663 6.975
I 2.126 5.452 0.000
I 2.336 5.241 4.749
I 2.336 5.241 9.200
I 5.241 2.336 4.749
I 5.241 2.336 9.200
I 5.452 2.126 0.000
I 5.914 5.914 6.975
I 6.125 6.125 2.226
I 6.125 6.125 11.723
```

Computed properties:
The calculation puts the electronic total energy at -3.727 eV per atom. The value obtained for the uncorrected formation energy is -56.3 kJ/mol of atoms.

***

Record 3
Material: SrCo4Ir
Method: DFT, GGA-PBE
State: optimized geometry

```
6
Lattice="0.000 3.527 3.527 3.527 0.000 3.527 3.527 3.527 0.000" Properties=species:S:1:pos:R:3 pbc="T T T"
Sr 0.000 0.000 0.000
Co 4.404 2.650 2.650
Co 2.650 4.404 2.650
Co 2.650 2.650 4.404
Co 4.404 4.404 4.404
Ir 1.764 1.764 1.764
```

Computed properties:
The calculation puts the electronic total energy at -6.141 eV per atom. The value obtained for the formation energy is 205 kJ/mol of formula units.

***

Record 4
Material: Fe2ReHgPt
Method: DFT, GGA-PBE
State: optimized geometry

```
5
Lattice="4.695 0.000 0.000 0.000 4.695 0.000 0.000 0.000 4.974" Properties=species:S:1:pos:R:3 pbc="T T T"
Fe 0.000 2.347 0.000
Fe 2.347 0.000 0.000
Re 0.000 0.000 2.487
Hg 2.347 2.347 0.000
Pt 2.347 2.347 2.487
```

Computed properties:
The calculation puts the electronic total energy at -4.920 eV per atom. The value obtained for the formation energy is 1073 kJ/mol of formula units.

***

Record 5
Material: AgOsW2
Method: DFT, GGA-PBE
State: optimized geometry

```
4
Lattice="-1.996 1.996 3.970 1.996 -1.996 3.970 1.996 1.996 -3.970" Properties=species:S:1:pos:R:3 pbc="T T T"
Ag 0.000 0.000 0.000
Os 1.996 0.000 1.985
W 0.000 0.000 3.970
W 0.000 1.996 1.985
```

Computed properties:
The calculation puts the electronic total energy at -9.431 eV per atom. Its energy relative to the lowest polymorph listed for this composition is 205 meV/atom. The value obtained for the formation energy is 219 kJ/mol of formula units.

***

Record 6
Material: MgAsRu3
Method: DFT, GGA-PBE
State: optimized geometry

```
5
Lattice="4.469 0.000 0.000 0.000 4.469 0.000 0.000 0.000 4.469" Properties=species:S:1:pos:R:3 pbc="T T T"
Mg 0.000 0.000 0.000
As 2.234 2.234 2.234
Ru 0.000 0.000 2.234
Ru 0.000 2.234 0.000
Ru 2.234 0.000 0.000
```

Computed properties:
The calculation puts the electronic total energy at -5.105 eV per atom. The value obtained for the formation energy is 825 kJ/mol of formula units.

***

Record 7
Material: K2Tl3
Method: DFT, GGA-PBE
State: optimized geometry

```
10
Lattice="3.237 -6.270 0.000 3.237 6.270 0.000 0.000 0.000 9.799" Properties=species:S:1:pos:R:3 pbc="T T T"
K 3.237 4.326 8.847
K 3.237 1.944 3.948
K 3.237 -1.944 5.851
K 3.237 -4.326 0.952
Tl 0.000 0.000 4.900
Tl 1.618 1.266 7.349
Tl 1.618 -1.266 2.450
Tl 3.237 0.000 0.000
Tl 4.855 1.266 7.349
Tl 4.855 -1.266 2.450
```

Computed properties:
The calculation puts the electronic total energy at -1.949 eV per atom. The value obtained for the formation energy is -44 kJ/mol of formula units.

***

Record 8
Material: PuTlHg
Method: DFT, GGA-PBE
State: optimized geometry

```
6
Lattice="2.407 -6.701 0.000 2.407 6.701 0.000 0.000 0.000 4.892" Properties=species:S:1:pos:R:3 pbc="T T T"
Pu 2.407 5.517 3.669
Pu 2.407 -5.517 1.223
Tl 2.407 1.203 3.669
Tl 2.407 -1.203 1.223
Hg 2.407 3.380 1.223
Hg 2.407 -3.380 3.669
```

Computed properties:
The calculation puts the electronic total energy at -5.705 eV per atom. Its energy relative to the lowest polymorph listed for this composition is 26 meV/atom. The value obtained for the formation energy is -11 kJ/mol of formula units.

***

Record 9
Material: Li2PmTmO4
Method: DFT, GGA-PBE
State: optimized geometry

```
8
Lattice="5.473 0.000 0.000 0.000 3.396 0.000 -2.223 0.000 5.506" Properties=species:S:1:pos:R:3 pbc="T T T"
Li 0.000 0.000 0.000
Li -1.112 1.698 2.753
Pm 1.625 0.000 2.753
Tm 2.737 1.698 0.000
O 0.909 1.698 1.313
O -0.248 0.000 4.196
O 3.498 0.000 1.310
O 2.341 1.698 4.193
```

Computed properties:
The calculation puts the electronic total energy at -6.898 eV per atom. The value obtained for the uncorrected formation energy is -269.0 kJ/mol of atoms.

***

Record 10
Material: CeSmDy
Method: DFT, GGA-PBE
State: optimized geometry

```
3
Lattice="-1.771 1.771 7.481 1.771 -1.771 7.481 1.771 1.771 -7.481" Properties=species:S:1:pos:R:3 pbc="T T T"
Ce 0.000 0.000 0.000
Sm 0.000 0.000 9.914
Dy 0.000 0.000 5.096
```

Computed properties:
The calculation puts the electronic total energy at -5.010 eV per atom. Its energy relative to the lowest polymorph listed for this composition is 4 meV/atom. The value obtained for the formation energy is 22 kJ/mol of formula units.

***

Record 11
Material: YZn2Bi2
Method: DFT, GGA-PBE
State: optimized geometry

```
10
Lattice="7.815 0.000 0.000 0.000 7.815 0.000 0.000 0.000 4.000" Properties=species:S:1:pos:R:3 pbc="T T T"
Y 0.000 0.000 0.000
Y 3.908 3.908 0.000
Zn 0.904 3.004 0.000
Zn 3.004 6.912 0.000
Zn 4.811 0.904 0.000
Zn 6.912 4.811 0.000
Bi 1.410 5.318 2.000
Bi 2.498 1.410 2.000
Bi 5.318 6.405 2.000
Bi 6.405 2.498 2.000
```

Computed properties:
The calculation puts the electronic total energy at -3.550 eV per atom. Its energy relative to the lowest polymorph listed for this composition is 0 meV/atom. The value obtained for the formation energy is -94 kJ/mol of formula units.

***

Record 12
Material: Mn2CuSnHg
Method: DFT, GGA-PBE
State: optimized geometry

```
5
Lattice="5.161 0.000 0.000 0.000 5.161 0.000 0.000 0.000 4.918" Properties=species:S:1:pos:R:3 pbc="T T T"
Mn 0.000 2.581 0.000
Mn 2.581 0.000 0.000
Cu 0.000 0.000 2.459
Sn 2.581 2.581 2.459
Hg 0.000 0.000 0.000
```

Computed properties:
The calculation puts the electronic total energy at -4.408 eV per atom. The value obtained for the formation energy is 453 kJ/mol of formula units.

***

Record 13
Material: Ac2TbSb4Ir3
Method: DFT, GGA-PBE
State: optimized geometry

```
10
Lattice="4.642 0.000 0.000 0.000 4.642 0.000 0.000 0.000 11.591" Properties=species:S:1:pos:R:3 pbc="T T T"
Ac 0.000 2.321 2.683
Ac 2.321 0.000 8.908
Tb 0.000 0.000 5.796
Sb 0.000 0.000 0.000
Sb 0.000 2.321 7.605
Sb 2.321 0.000 3.987
Sb 2.321 2.321 0.000
Ir 0.000 2.321 10.286
Ir 2.321 0.000 1.305
Ir 2.321 2.321 5.796
```

Computed properties:
The calculation puts the electronic total energy at -6.307 eV per atom. The value obtained for the uncorrected formation energy is -69.0 kJ/mol of atoms.

***

Record 14
Material: Ca2HgTe
Method: DFT, GGA-PBE
State: optimized geometry

```
4
Lattice="0.000 3.930 3.930 3.930 0.000 3.930 3.930 3.930 0.000" Properties=species:S:1:pos:R:3 pbc="T T T"
Ca 0.000 0.000 0.000
Ca 1.965 1.965 1.965
Hg 5.895 5.895 5.895
Te 3.930 3.930 3.930
```

Computed properties:
The calculation puts the electronic total energy at -2.260 eV per atom. The value obtained for the uncorrected formation energy is -38.5 kJ/mol of atoms. Its energy relative to the lowest polymorph listed for this composition is 545 meV/atom.

***

Record 15
Material: Ca4N
Method: DFT, GGA-PBE
State: optimized geometry

```
10
Lattice="0.000 6.311 3.752 6.245 0.000 3.752 6.245 6.311 0.000" Properties=species:S:1:pos:R:3 pbc="T T T"
Ca 11.138 7.581 4.006
Ca 4.475 4.425 2.130
Ca 1.771 1.885 2.130
Ca 7.495 5.155 3.752
Ca 4.996 7.466 3.752
Ca 10.617 10.622 5.628
Ca 8.118 8.310 5.628
Ca 7.597 11.351 4.006
N 6.245 6.311 2.105
N 9.368 9.466 3.981
```

Computed properties:
The calculation puts the electronic total energy at -3.618 eV per atom. The value obtained for the uncorrected formation energy is -34.0 kJ/mol of atoms. Its energy relative to the lowest polymorph listed for this composition is 0 meV/atom.

***

Record 16
Material: KCu2P
Method: DFT, GGA-PBE
State: optimized geometry

```
4
Lattice="4.364 0.000 0.000 0.000 4.364 0.000 0.000 0.000 3.774" Properties=species:S:1:pos:R:3 pbc="T T T"
K 0.000 0.000 0.000
Cu 0.000 2.182 1.887
Cu 2.182 0.000 1.887
P 2.182 2.182 0.000
```

Computed properties:
The calculation puts the electronic total energy at -3.057 eV per atom. The value obtained for the formation energy is 238 kJ/mol of formula units.

***

Record 17
Material: LiPm6Pt2
Method: DFT, GGA-PBE
State: optimized geometry

```
9
Lattice="6.743 -2.265 0.000 6.743 2.265 0.000 -5.733 0.000 8.378" Properties=species:S:1:pos:R:3 pbc="T T T"
Li 0.000 0.000 0.000
Pm -3.735 0.000 5.696
Pm 1.624 0.000 3.125
Pm -0.995 0.000 8.257
Pm 8.748 0.000 0.121
Pm 6.129 0.000 5.254
Pm 11.489 0.000 2.682
Pt 1.112 0.000 6.186
Pt 6.641 0.000 2.192
```

Computed properties:
The calculation puts the electronic total energy at -5.241 eV per atom. The value obtained for the formation energy is -450 kJ/mol of formula units.

***

Record 18
Material: La2Co2Ge3
Method: DFT, GGA-PBE
State: optimized geometry

```
14
Lattice="2.180 -9.163 0.000 2.180 9.163 0.000 0.000 0.000 6.896" Properties=species:S:1:pos:R:3 pbc="T T T"
La 2.180 8.192 5.172
La 2.180 6.186 1.724
La 2.180 -6.186 5.172
La 2.180 -8.192 1.724
Co 2.180 3.591 0.425
Co 2.180 3.591 3.023
Co 2.180 -3.591 3.873
Co 2.180 -3.591 6.471
Ge 2.180 5.101 5.172
Ge 2.180 1.223 3.885
Ge 2.180 1.223 6.459
Ge 2.180 -1.223 0.437
Ge 2.180 -1.223 3.011
Ge 2.180 -5.101 1.724
```

Computed properties:
The calculation puts the electronic total energy at -5.948 eV per atom. The value obtained for the formation energy is -359 kJ/mol of formula units.

***

Record 19
Material: Ca3DyPa2As6
Method: DFT, GGA-PBE
State: optimized geometry

```
12
Lattice="3.617 -6.263 0.000 3.617 6.263 0.000 -2.409 0.000 6.829" Properties=species:S:1:pos:R:3 pbc="T T T"
Ca 0.000 0.000 0.000
Ca 3.617 2.066 0.000
Ca 3.617 -2.066 0.000
Dy 2.412 0.000 3.414
Pa 2.412 4.172 3.414
Pa 2.412 -4.172 3.414
As 1.181 2.130 1.825
As -0.047 0.000 5.008
As 1.181 -2.130 1.825
As 3.643 2.130 5.003
As 4.871 0.000 1.821
As 3.643 -2.130 5.003
```

Computed properties:
The calculation puts the electronic total energy at -6.039 eV per atom. The value obtained for the formation energy is -1445 kJ/mol of formula units.

***

Record 20
Material: Th4Ge
Method: DFT, GGA-PBE
State: optimized geometry

```
5
Lattice="5.627 0.000 0.000 0.000 5.627 0.000 0.000 0.000 5.627" Properties=species:S:1:pos:R:3 pbc="T T T"
Th 0.000 0.000 0.000
Th 0.000 2.813 2.813
Th 2.813 0.000 2.813
Th 2.813 2.813 0.000
Ge 2.813 2.813 2.813
```

Computed properties:
The calculation puts the electronic total energy at -6.656 eV per atom. The value obtained for the formation energy is 98 kJ/mol of formula units.

***

Record 21
Material: Ga2Pd2Pb
Method: DFT, GGA-PBE
State: optimized geometry

```
5
Lattice="-1.924 1.924 6.390 1.924 -1.924 6.390 1.924 1.924 -6.390" Properties=species:S:1:pos:R:3 pbc="T T T"
Ga 1.924 0.000 3.195
Ga 0.000 1.924 3.195
Pd 0.000 0.000 1.467
Pd 0.000 0.000 11.313
Pb 0.000 0.000 6.390
```

Computed properties:
The calculation puts the electronic total energy at -4.407 eV per atom. The value obtained for the formation energy is -182 kJ/mol of formula units.

***

Record 22
Material: UGe3Ir3
Method: DFT, GGA-PBE
State: optimized geometry

```
14
Lattice="6.748 0.000 0.000 0.000 6.748 0.000 0.000 0.000 6.748" Properties=species:S:1:pos:R:3 pbc="T T T"
U 0.000 0.000 0.000
U 3.374 3.374 3.374
Ge 0.000 1.687 3.374
Ge 0.000 5.061 3.374
Ge 1.687 3.374 0.000
Ge 3.374 0.000 1.687
Ge 3.374 0.000 5.061
Ge 5.061 3.374 0.000
Ir 0.000 3.374 1.687
Ir 0.000 3.374 5.061
Ir 1.687 0.000 3.374
Ir 3.374 1.687 0.000
Ir 3.374 5.061 0.000
Ir 5.061 0.000 3.374
```

Computed properties:
The calculation puts the electronic total energy at -7.194 eV per atom. The value obtained for the formation energy is 132 kJ/mol of formula units.

***

Record 23
Material: Ho3Ni7Rh2
Method: DFT, GGA-PBE
State: optimized geometry

```
12
Lattice="2.505 1.446 8.299 -2.505 1.446 8.299 0.000 -2.893 8.299" Properties=species:S:1:pos:R:3 pbc="T T T"
Ho 0.000 0.000 0.000
Ho 0.000 0.000 3.465
Ho 0.000 0.000 21.432
Ni -1.257 -0.726 10.420
Ni 0.000 -1.451 14.476
Ni -1.257 0.726 14.476
Ni 0.000 0.000 12.448
Ni 1.257 -0.726 10.420
Ni 0.000 1.451 10.420
Ni 1.257 0.726 14.476
Rh 0.000 0.000 8.280
Rh 0.000 0.000 16.616
```

Computed properties:
The calculation puts the electronic total energy at -6.181 eV per atom. The value obtained for the formation energy is -508 kJ/mol of formula units.

***

Record 24
Material: GdPaReNi
Method: DFT, GGA-PBE
State: optimized geometry

```
4
Lattice="0.000 3.424 3.424 3.424 0.000 3.424 3.424 3.424 0.000" Properties=species:S:1:pos:R:3 pbc="T T T"
Gd 0.000 0.000 0.000
Pa 3.424 3.424 3.424
Re 1.712 1.712 1.712
Ni 5.137 5.137 5.137
```

Computed properties:
The calculation puts the electronic total energy at -10.499 eV per atom. The value obtained for the formation energy is -18 kJ/mol of formula units.

***

Record 25
Material: TlCu2MoCl
Method: DFT, GGA-PBE
State: optimized geometry

```
5
Lattice="4.892 0.000 0.000 0.000 4.892 0.000 0.000 0.000 5.494" Properties=species:S:1:pos:R:3 pbc="T T T"
Tl 0.000 0.000 0.000
Cu 0.000 2.446 0.000
Cu 2.446 0.000 0.000
Mo 0.000 0.000 2.747
Cl 2.446 2.446 2.747
```

Computed properties:
The calculation puts the electronic total energy at -3.348 eV per atom. The value obtained for the uncorrected formation energy is 125.3 kJ/mol of atoms.